The following is a DFT calculation (PBE with a Hubbard U) of crystalline ScCoO3 at its relaxed geometry.

a b c (Å): 3.9894 3.9894 3.9894
angles (deg): 90.00 90.00 90.00
Each line ends with the local moment (μB).
Positions (direct):
O 0.0000 0.0000 0.5000  0.32
Co 0.5000 0.5000 0.5000  2.71
Sc 0.0000 0.0000 0.0000  -0.04
O 0.5000 0.0000 0.0000  0.36
O 0.0000 0.5000 0.0000  0.43

Fermi-level density of states: 3.7 states/eV/f.u.
Final energy: -32.7 eV/f.u.